# 1
InAg2HgOs | Alexandria | PBE | optimized geometry; crystal system = tetragonal; formation energy = 1720 meV/atom; SG = P4/mmm, No. 123
1.0
5.106 0.000 0.000
0.000 5.106 0.000
0.000 0.000 5.264
In Ag Hg Os
1 2 1 1
Direct
0.000 0.000 0.000
0.000 0.500 0.000
0.500 0.000 0.000
0.000 0.000 0.500
0.500 0.500 0.500


# 2
ZrBr3 | Alexandria | PBE | optimized geometry; crystal system = orthorhombic; SG = Cmmm, No. 65; raw formation energy = -1259.7 meV per atom
1.0
2.693 -7.288 0.000
2.693 7.288 0.000
0.000 0.000 3.594
Zr Br
1 3
Direct
0.000 0.000 0.000
0.139 0.861 0.500
0.500 0.500 0.000
0.861 0.139 0.500


# 3
RbBa6Ir | Alexandria | PBE | optimized geometry; crystal system = trigonal; formation energy = 9 meV/atom; SG = R-3m, No. 166
1.0
4.418 2.551 7.846
-4.418 2.551 7.846
0.000 -5.101 7.846
Rb Ba Ir
1 6 1
Direct
0.000 0.000 0.000
0.101 0.589 0.589
0.411 0.411 0.899
0.411 0.899 0.411
0.589 0.101 0.589
0.589 0.589 0.101
0.899 0.411 0.411
0.500 0.500 0.500


# 4
LaSmCd4 | Alexandria | PBE | optimized geometry; crystal system = cubic; formation energy = -315 meV/atom; SG = F-43m, No. 216
1.0
0.000 4.258 4.258
4.258 0.000 4.258
4.258 4.258 0.000
La Sm Cd
1 1 4
Direct
0.000 0.000 0.000
0.250 0.250 0.250
0.126 0.625 0.625
0.625 0.126 0.625
0.625 0.625 0.126
0.625 0.625 0.625


# 5
Ce2Dy3Y6Ho | Alexandria | PBE | optimized geometry; crystal system = monoclinic; formation energy = 51 meV/atom; SG = C2/m, No. 12
1.0
3.078 -5.330 0.000
3.078 5.330 0.000
-2.048 0.000 11.589
Ce Dy Y Ho
2 3 6 1
Direct
0.167 0.833 0.000
0.833 0.167 0.000
0.000 0.000 0.500
0.334 0.666 0.500
0.666 0.334 0.500
0.082 0.417 0.751
0.248 0.248 0.249
0.417 0.082 0.751
0.583 0.918 0.249
0.752 0.752 0.751
0.918 0.583 0.249
0.500 0.500 0.000


# 6
Ac3SiNi3 | Alexandria | PBE | optimized geometry; crystal system = monoclinic; SG = C2/m, No. 12; raw formation energy = -398.0 meV per atom
1.0
5.937 -2.055 0.000
5.937 2.055 0.000
-5.377 0.000 14.004
Ac Si Ni
6 2 6
Direct
0.028 0.028 0.385
0.096 0.096 0.921
0.239 0.239 0.227
0.761 0.761 0.773
0.904 0.904 0.079
0.972 0.972 0.615
0.253 0.253 0.608
0.747 0.747 0.392
0.297 0.297 0.467
0.405 0.405 0.925
0.440 0.440 0.757
0.560 0.560 0.243
0.595 0.595 0.075
0.703 0.703 0.533